SrV2Zn2O7 PBE+U relaxed; SG = R32, No. 155; N(E_F) = 0.0007 states/eV per atom; raw total energy = -6.348 eV/atom; theoretical density = 3.282 g/cm³; magnetic moment = 2.00 μB/f.u.; calculated volume = 218.73 Å³/cell
1.0
-2.6003 2.5824 4.2397
-2.5060 -3.0159 4.0038
5.1359 -0.2077 6.9801
Sr V Zn O
1 2 2 7
Direct
0.5000 0.5000 0.5000 Sr
0.9254 0.9254 0.2239 V
0.0746 0.0746 0.7761 V
0.7614 0.7614 0.7158 Zn
0.2386 0.2386 0.2842 Zn
0.1951 0.9153 0.3032 O
0.5864 0.1951 0.3032 O
0.9153 0.5864 0.3032 O
0.4136 0.0847 0.6968 O
0.8049 0.4136 0.6968 O
0.0000 0.0000 0.0000 O
0.0847 0.8049 0.6968 O